No. 1
LiCe2P3Ir12: optimized geometry, PBE.

Values from the calculation:
As for the space-group type: R-3m.

Unit cell a=6.727 b=6.727 c=6.727 alpha=82.40 beta=82.40 gamma=82.40
Fractional positions:
1 Ir 0.330 0.825 0.825
2 Ir 0.825 0.825 0.330
3 Ir 0.631 0.631 0.104
4 Ir 0.896 0.369 0.369
5 Ir 0.631 0.104 0.631
6 Ir 0.175 0.670 0.175
7 Ir 0.369 0.369 0.896
8 Ir 0.825 0.330 0.825
9 Ir 0.104 0.631 0.631
10 Ir 0.175 0.175 0.670
11 Ir 0.670 0.175 0.175
12 Ir 0.369 0.896 0.369
13 P 0.000 0.500 0.000
14 P 0.000 0.000 0.500
15 P 0.500 0.000 0.000
16 Li 0.000 0.000 0.000
17 Ce 0.624 0.624 0.624
18 Ce 0.376 0.376 0.376

=====

No. 2
LiCePaIr: optimized geometry, PBE.

Values from the calculation:
As for the space-group type: F-43m.

Unit cell a=4.930 b=4.930 c=4.930 alpha=60.00 beta=60.00 gamma=60.00
Last column: magnetic moment on the atom in μB.
Fractional positions:
1 Pa 0.000 0.000 0.000  0.35
2 Ir 0.250 0.250 0.250  -0.02
3 Li 0.750 0.750 0.750  0.01
4 Ce 0.500 0.500 0.500  0.34

=====

No. 3
LiCePrIr: optimized geometry, PBE.

Values from the calculation:
As for the space-group type: F-43m.

Unit cell a=5.068 b=5.068 c=5.068 alpha=60.00 beta=60.00 gamma=60.00
Last column: magnetic moment on the atom in μB.
Fractional positions:
1 Li 0.000 0.000 0.000  0.01
2 Ce 0.750 0.750 0.750  0.61
3 Pr 0.250 0.250 0.250  0.02
4 Ir 0.500 0.500 0.500  -0.04

=====

No. 4
LiCeIrPt: optimized geometry, PBE.

Values from the calculation:
As for the space-group type: F-43m.

Unit cell a=4.695 b=4.695 c=4.695 alpha=60.00 beta=60.00 gamma=60.00
Fractional positions:
1 Li 0.000 0.000 0.000
2 Pt 0.250 0.250 0.250
3 Ir 0.750 0.750 0.750
4 Ce 0.500 0.500 0.500

=====

No. 5
LiCeIrRu: optimized geometry, PBE.

Values from the calculation:
As for the space-group type: F-43m.

Unit cell a=4.565 b=4.565 c=4.565 alpha=60.00 beta=60.00 gamma=60.00
Fractional positions:
1 Ir 0.000 0.000 0.000
2 Ru 0.500 0.500 0.500
3 Li 0.250 0.250 0.250
4 Ce 0.750 0.750 0.750

=====

No. 6
LiCeSbIr: optimized geometry, PBE.

Values from the calculation:
As for the space-group type: F-43m. As for the formation energy (no corrections): -2.5 eV/f.u.

Unit cell a=4.798 b=4.798 c=4.798 alpha=60.00 beta=60.00 gamma=60.00
Last column: magnetic moment on the atom in μB.
Fractional positions:
1 Ce 0.000 0.000 0.000  0.73
2 Ir 0.250 0.250 0.250  0.03
3 Sb 0.500 0.500 0.500  0.01
4 Li 0.750 0.750 0.750  0.02

=====

In the order shown, the computed DFT total energy values come out to -7.7234 -6.7289 -5.6859 -6.2807 -6.7455 -5.8424 eV/atom.
In the order shown, the computed size of the total moment values come out to 0.00 0.82 0.71 0.00 0.00 0.92 μB/f.u..